No. 1
Density functional theory data (PBE) for an optimized crystal structure of CdPBr2.

## Properties
ΔE_f (raw) = 0.10 eV per atom
density of states at the Fermi level = 2.2 states/eV/f.u.

Geometry as POSCAR:
```
CdPBr2
1.0
3.731 0.000 0.000
0.000 6.842 0.000
0.000 0.000 9.334
Cd P Br
2 2 4
Direct
0.000 0.000 0.000
0.500 0.500 0.000
0.000 0.500 0.793
0.500 0.000 0.793
0.000 0.000 0.601
0.000 0.500 0.204
0.500 0.000 0.204
0.500 0.500 0.601
```

***

No. 2
Density functional theory data (PBE) for an optimized crystal structure of CoNi3Pt.

## Properties
energy relative to the elements = 0.97 eV per atom
density of states at the Fermi level = 5.0 states/eV/f.u.

Geometry as POSCAR:
```
CoNi3Pt
1.0
4.190 0.000 0.000
0.000 4.190 0.000
0.000 0.000 4.190
Co Ni Pt
1 3 1
Direct
0.000 0.000 0.000
0.000 0.000 0.500
0.000 0.500 0.000
0.500 0.000 0.000
0.500 0.500 0.500
```

***

No. 3
Density functional theory data (PBE) for an optimized crystal structure of Y2InS.

## Properties
ΔE_f (raw) = -1.20 eV per atom
density of states at the Fermi level = 2.7 states/eV/f.u.

Geometry as POSCAR:
```
Y2InS
1.0
3.796 0.000 0.000
-1.898 3.287 0.000
0.000 0.000 24.439
Y In S
6 3 3
Direct
0.000 0.000 0.000
0.000 0.000 0.201
0.333 0.667 0.667
0.333 0.667 0.867
0.667 0.333 0.333
0.667 0.333 0.534
0.000 0.000 0.434
0.333 0.667 0.100
0.667 0.333 0.767
0.000 0.000 0.601
0.333 0.667 0.268
0.667 0.333 0.935
```

***

No. 4
Density functional theory data (PBE) for an optimized crystal structure of ZnRe2AsOs.

## Properties
energy relative to the elements = 1.87 eV per atom
density of states at the Fermi level = 8.2 states/eV/f.u.

Geometry as POSCAR:
```
ZnRe2AsOs
1.0
4.528 0.000 0.000
0.000 4.528 0.000
0.000 0.000 4.403
Zn Re As Os
1 2 1 1
Direct
0.000 0.000 0.000
0.000 0.500 0.500
0.500 0.000 0.500
0.000 0.000 0.500
0.500 0.500 0.000
```

***

No. 5
Density functional theory data (PBE) for an optimized crystal structure of YSi2Sb.

## Properties
ΔE_f (raw) = -0.25 eV per atom
density of states at the Fermi level = 2.5 states/eV/f.u.

Geometry as POSCAR:
```
YSi2Sb
1.0
4.225 0.000 0.000
0.000 3.881 0.000
-2.044 0.000 5.567
Y Si Sb
1 2 1
Direct
0.000 0.000 0.000
0.599 0.500 0.213
0.735 0.000 0.459
0.378 0.500 0.744
```

***

No. 6
Density functional theory data (PBE) for an optimized crystal structure of BaY2Au.

## Properties
energy relative to the elements = -0.04 eV per atom
density of states at the Fermi level = 4.9 states/eV/f.u.

Geometry as POSCAR:
```
BaY2Au
1.0
3.919 0.000 0.000
0.000 5.626 0.000
0.000 0.000 5.631
Ba Y Au
1 2 1
Direct
0.000 0.000 0.000
0.000 0.500 0.500
0.500 0.500 0.000
0.500 0.000 0.500
```

***

No. 7
Density functional theory data (PBE) for an optimized crystal structure of BaNd2Zn.

## Properties
energy relative to the elements = -0.05 eV per atom
density of states at the Fermi level = 5.6 states/eV/f.u.

Geometry as POSCAR:
```
BaNd2Zn
1.0
3.806 0.000 0.000
0.000 3.806 0.000
0.000 0.000 9.687
Ba Nd Zn
1 2 1
Direct
0.000 0.000 0.000
0.500 0.500 0.326
0.500 0.500 0.674
0.000 0.000 0.500
```

***

No. 8
Density functional theory data (PBE) for an optimized crystal structure of Dy3HoTm2Bi6.

## Properties
energy relative to the elements = -0.83 eV per atom
density of states at the Fermi level = 2.0 states/eV/f.u.

Geometry as POSCAR:
```
Dy3HoTm2Bi6
1.0
9.708 -2.227 0.000
9.708 2.227 0.000
-2.033 0.000 8.677
Dy Ho Tm Bi
3 1 2 6
Direct
0.000 0.000 0.000
0.334 0.334 0.667
0.666 0.666 0.333
0.000 0.000 0.500
0.333 0.333 0.167
0.667 0.667 0.833
0.167 0.167 0.081
0.167 0.167 0.585
0.499 0.499 0.250
0.501 0.501 0.750
0.833 0.833 0.415
0.833 0.833 0.919
```

***

For reference, mass density by record: 4.23, 9.71, 5.30, 12.93, 4.86, 6.85, 5.81, 9.93 g/cm³.
For reference, VASP energy by record: -2.32, -5.12, -6.15, -6.54, -5.60, -4.57, -3.24, -5.05 eV/atom.